DFT (PBE) results for a geometry-optimized LaPmSn structure.

## Properties
**Volume**: 35.88 A^3/atom
**DFT total energy**: -5.015 eV per atom
**Total magnetic moment**: 0.0 μB per formula unit

Structure (POSCAR):
```
LaPmSn
1.0
2.598 -3.022 3.553
0.407 1.603 5.077
-2.713 -2.547 3.829
La Sn Pm
1 1 1
Direct
0.250 0.250 0.250
0.000 0.000 0.000
0.750 0.750 0.750
```